Entry from OQMD via LeMat-Bulk: a relaxed Y2Ga3Ag crystal (PBE).

Cell: 8.938 8.567 5.770 Å, 74.28 67.30 38.42°
Fractional positions:
1 Ga 0.836 0.836 0.164
2 Ga 0.836 0.329 0.671
3 Y 0.750 0.750 0.750
4 Ga 0.329 0.836 0.164
5 Y 0.250 0.250 0.250
6 Y 0.745 0.255 0.255
7 Y 0.255 0.745 0.745
8 Ag 0.332 0.332 0.668
9 Ag 0.668 0.668 0.332
10 Ga 0.671 0.164 0.836
11 Ga 0.164 0.671 0.329
12 Ga 0.164 0.164 0.836

Summary:
theoretical density: 6.50 g cm⁻³
total energy: -56.787 eV per cell
SG: Fmmm, No. 69
volume: 253 Å³/cell